First-principles (PBE-GGA) data for a geometry-optimized LiH3Pt structure, as listed in Alexandria.

Its energy is -3.693 eV/atom. The total magnetic moment comes out at 0.00 μB/f.u.

Structure (POSCAR):
```
LiH3Pt
1.0
2.770 0.000 0.000
0.000 2.201 -4.417
0.000 2.201 4.417
H Pt Li
3 1 1
Direct
0.500 0.176 0.323
0.500 0.677 0.824
0.000 0.239 0.761
0.000 0.428 0.572
0.500 0.109 0.891
```

First-principles (PBE-GGA) data for a geometry-optimized BaCuTe2H structure, as listed in Alexandria.

Its energy is -2.572 eV/atom. The total magnetic moment comes out at 0.09 μB/f.u.

Structure (POSCAR):
```
BaCuTe2H
1.0
6.612 0.000 0.000
0.000 4.303 0.000
0.000 0.000 6.612
H Te Ba Cu
1 2 1 1
Direct
0.000 0.500 0.000
0.000 0.000 0.500
0.500 0.000 0.000
0.000 0.000 0.000
0.500 0.500 0.500
```

First-principles (PBE-GGA) data for a geometry-optimized PrPd4Au12 structure, as listed in Alexandria.

The calculation puts the energy of formation from the pure elements at 198 meV/atom. Its energy is -3.618 eV/atom. The total magnetic moment comes out at 0.00 μB/f.u.

Structure (POSCAR):
```
PrPd4Au12
1.0
-5.650 -1.079 5.386
3.217 -6.948 -1.860
5.550 4.763 2.933
Pr Pd Au
1 4 12
Direct
0.000 0.000 0.000
0.000 0.500 0.000
0.500 0.000 0.000
0.500 0.500 0.500
0.000 0.000 0.500
0.850 0.348 0.198
0.348 0.499 0.150
0.802 0.150 0.652
0.348 0.198 0.850
0.198 0.850 0.348
0.652 0.501 0.850
0.499 0.150 0.348
0.501 0.850 0.652
0.652 0.802 0.150
0.850 0.652 0.501
0.150 0.348 0.499
0.150 0.652 0.802
```

First-principles (PBE-GGA) data for a geometry-optimized CaNb2HgPb structure, as listed in Alexandria.

The calculation puts the energy of formation from the pure elements at 1127 meV/atom. Its energy is -4.103 eV/atom. The total magnetic moment comes out at 2.24 μB/f.u.

Structure (POSCAR):
```
CaNb2HgPb
1.0
-1.823 4.288 -2.330
2.371 -1.531 -4.672
-4.324 -2.572 -1.351
Pb Nb Ca Hg
1 2 1 1
Direct
0.500 0.500 0.500
0.000 0.000 0.500
0.500 0.000 0.000
0.000 0.500 0.000
0.000 0.000 0.000
```

First-principles (PBE-GGA) data for a geometry-optimized Rb2PbW structure, as listed in Alexandria.

The calculation puts the energy of formation from the pure elements at 1218 meV/atom. Its energy is -3.431 eV/atom. The total magnetic moment comes out at 3.23 μB/f.u.

Structure (POSCAR):
```
Rb2PbW
1.0
-10.093 3.596 8.068
6.862 -4.522 10.600
-0.489 1.989 9.651
Pb Rb W
2 4 2
Direct
0.000 0.000 0.000
0.750 0.250 0.500
0.448 0.125 0.250
0.302 0.625 0.250
0.375 0.552 0.750
0.875 0.698 0.750
0.500 0.500 0.000
0.250 0.750 0.500
```

First-principles (PBE-GGA) data for a geometry-optimized Ho3S4Br structure, as listed in Alexandria.

Its energy is -5.981 eV/atom. The value obtained for the uncorrected formation energy is -1991.1 meV per atom. The total magnetic moment comes out at 0.00 μB/f.u.

Structure (POSCAR):
```
Ho3S4Br
1.0
-3.052 4.446 -4.340
0.295 -7.432 -2.300
-7.354 0.994 6.189
S Ho Br
8 6 2
Direct
0.265 0.210 0.932
0.946 0.210 0.432
0.566 0.452 0.651
0.886 0.452 0.151
0.103 0.596 0.839
0.493 0.596 0.339
0.050 0.757 0.528
0.707 0.757 0.028
0.675 0.377 0.889
0.702 0.377 0.389
0.277 0.565 0.579
0.288 0.565 0.079
0.939 0.836 0.801
0.897 0.836 0.301
0.649 0.985 0.730
0.336 0.985 0.230
```